# 1
Compound: Cu2NiMo
Source: the Alexandria database
Functional: PBE-GGA
Structure: relaxed

```
Cu2NiMo
1.0
2.623 0.000 0.000
0.000 4.370 0.000
0.000 0.000 4.512
Cu Ni Mo
2 1 1
direct
0.000 0.000 0.000
0.500 0.500 0.000
0.000 0.500 0.500
0.500 0.000 0.500
```

Output
Mass density: 9.04 g cm⁻³
D(E_F): 0.90 states/eV per atom
Total magnetic moment: 0.00 μB/cell
E above lowest polymorph: 180.9 meV/atom
Formation energy: 0.244 eV/atom

***

# 2
Compound: CuNiMo
Source: the Alexandria database
Functional: PBE-GGA
Structure: relaxed

```
CuNiMo
1.0
3.614 0.000 0.000
0.000 1.898 5.644
0.000 -1.898 5.644
Cu Ni Mo
2 2 2
direct
0.000 0.000 0.000
0.500 0.161 0.161
0.000 0.667 0.667
0.500 0.829 0.829
0.000 0.328 0.328
0.500 0.495 0.495
```

Output
Mass density: 9.36 g cm⁻³
D(E_F): 0.72 states/eV per atom
Total magnetic moment: 0.00 μB/cell
E above lowest polymorph: 68.3 meV/atom
Formation energy: 0.107 eV/atom